1.
VASP calculation (GGA-PBEsol) on a relaxed structure of KGa3.

Cell: 6.2067 6.2067 14.6267 Å, 90.00 90.00 90.00°
With the nearest neighbours (Å) after each atom.
Space group I-4m2 (No. 119)
Inequivalent atoms, fractional coordinates:
K: 0.0000 0.0000 0.0000 (multiplicity 2)  12 Ga 3.48-3.68, 4 K 3.61
K: 0.0000 0.5000 0.1263 (multiplicity 4)  3 K 3.61-3.62, 16 Ga 3.61-4.03
Ga: 0.0000 0.0000 0.5000 (multiplicity 2)  4 Ga 2.46
Ga: 0.0000 0.2063 0.7789 (multiplicity 8)  6 Ga 2.56-2.75
Ga: 0.0000 0.3053 0.6069 (multiplicity 8)  3 Ga 2.42-2.59

Results
* density of states at the Fermi level: 0.35 states/eV/cell
* calculated total energy: -2.96 eV per atom
* total magnetization: 0.000 μB per atom
* E_form: -0.18 eV per atom

2.
VASP calculation (GGA-PBEsol) on a relaxed structure of K2Ga3.

Cell: 6.0598 6.0598 14.5264 Å, 90.00 90.00 90.00°
With the nearest neighbours (Å) after each atom.
Space group I4/mmm (No. 139)
Inequivalent atoms, fractional coordinates:
K: 0.0000 0.0000 0.1098 (multiplicity 4)  1 K 3.19
K: 0.0000 0.5000 0.2500 (multiplicity 4)  4 Ga 3.42, 4 K 3.65
Ga: 0.0000 0.0000 0.3596 (multiplicity 4)  4 Ga 2.71
Ga: 0.0000 0.2955 0.5000 (multiplicity 8)  5 Ga 2.48-2.71

Results
* density of states at the Fermi level: 0.47 states/eV/cell
* calculated total energy: -2.62 eV per atom
* total magnetization: 0.000 μB per atom
* E_form: -0.16 eV per atom

3.
VASP calculation (GGA-PBEsol) on a relaxed structure of KLa3Ga.

Cell: 5.8930 5.8930 5.8930 Å, 90.00 90.00 90.00°
With the nearest neighbours (Å) after each atom.
Space group Pm-3m (No. 221)
Inequivalent atoms, fractional coordinates:
K: 0.0000 0.0000 0.0000 (multiplicity 1)  12 La 4.17
La: 0.0000 0.5000 0.5000 (multiplicity 3)  2 Ga 2.95
Ga: 0.5000 0.5000 0.5000 (multiplicity 1)  6 La 2.95

Results
* density of states at the Fermi level: 7.08 states/eV/cell
* calculated total energy: -3.89 eV per atom
* total magnetization: 0.001 μB per atom
* E_form: 0.21 eV per atom

4.
VASP calculation (GGA-PBEsol) on a relaxed structure of KLi3Ga.

Cell: 5.1465 5.1465 5.1465 Å, 90.00 90.00 90.00°
With the nearest neighbours (Å) after each atom.
Space group Pm-3m (No. 221)
Inequivalent atoms, fractional coordinates:
K: 0.0000 0.0000 0.0000 (multiplicity 1)  12 Li 3.64
Li: 0.0000 0.5000 0.5000 (multiplicity 3)  2 Ga 2.57
Ga: 0.5000 0.5000 0.5000 (multiplicity 1)  6 Li 2.57

Results
* density of states at the Fermi level: 4.09 states/eV/cell
* calculated total energy: -2.05 eV per atom
* total magnetization: 0.001 μB per atom
* E_form: 0.02 eV per atom

5.
VASP calculation (GGA-PBEsol) on a relaxed structure of KMg3Ga.

Cell: 5.9671 5.9671 5.9671 Å, 90.00 90.00 90.00°
With the nearest neighbours (Å) after each atom.
Space group Pm-3m (No. 221)
Inequivalent atoms, fractional coordinates:
K: 0.0000 0.0000 0.0000 (multiplicity 1)  6 Mg 2.98
Mg: 0.0000 0.0000 0.5000 (multiplicity 3)  2 K 2.98
Ga: 0.5000 0.5000 0.5000 (multiplicity 1)  12 Mg 4.22

Results
* density of states at the Fermi level: 4.77 states/eV/cell
* calculated total energy: -0.78 eV per atom
* total magnetization: 0.000 μB per atom
* E_form: 1.14 eV per atom

6.
VASP calculation (GGA-PBEsol) on a relaxed structure of K2MgGa.

Cell: 8.3290 8.3290 8.3290 Å, 90.00 90.00 90.00°
With the nearest neighbours (Å) after each atom.
Space group Fm-3m (No. 225)
Inequivalent atoms, fractional coordinates:
K: 0.2500 0.2500 0.2500 (multiplicity 8)  4 Mg 3.61, 4 Ga 3.61
Mg: 0.0000 0.0000 0.0000 (multiplicity 4)  8 K 3.61
Ga: 0.0000 0.0000 0.5000 (multiplicity 4)  8 K 3.61

Results
* density of states at the Fermi level: 20.19 states/eV/cell
* calculated total energy: -1.51 eV per atom
* total magnetization: 0.005 μB per atom
* E_form: 0.32 eV per atom

7.
VASP calculation (GGA-PBEsol) on a relaxed structure of KNa2MnGa.

Cell: 5.7981 5.7981 4.7840 Å, 90.00 90.00 90.00°
With the nearest neighbours (Å) after each atom.
Space group P4/mmm (No. 123)
Inequivalent atoms, fractional coordinates:
K: 0.0000 0.0000 0.0000 (multiplicity 1)  8 Na 3.76, 4 Ga 4.10
Na: 0.0000 0.5000 0.5000 (multiplicity 2)  2 Mn 2.90
Mn: 0.5000 0.5000 0.5000 (multiplicity 1)  2 Ga 2.39
Ga: 0.5000 0.5000 0.0000 (multiplicity 1)  2 Mn 2.39

Results
* density of states at the Fermi level: 3.94 states/eV/cell
* calculated total energy: -2.95 eV per atom
* total magnetization: 0.739 μB per atom
* E_form: 0.45 eV per atom

8.
VASP calculation (GGA-PBEsol) on a relaxed structure of KZr2MnGa.

Cell: 4.7942 4.7942 4.1082 Å, 90.00 90.00 90.00°
With the nearest neighbours (Å) after each atom.
Space group P4/mmm (No. 123)
Inequivalent atoms, fractional coordinates:
K: 0.0000 0.0000 0.0000 (multiplicity 1)  2 Mn 2.05
Zr: 0.0000 0.5000 0.0000 (multiplicity 2)  2 K 2.40
Mn: 0.0000 0.0000 0.5000 (multiplicity 1)  2 K 2.05
Ga: 0.5000 0.5000 0.5000 (multiplicity 1)  8 Zr 3.16, 4 Mn 3.39

Results
* density of states at the Fermi level: 5.03 states/eV/cell
* calculated total energy: -4.61 eV per atom
* total magnetization: 0.264 μB per atom
* E_form: 1.88 eV per atom

9.
VASP calculation (GGA-PBEsol) on a relaxed structure of KGaMo3.

Cell: 4.7421 4.7421 4.7421 Å, 90.00 90.00 90.00°
With the nearest neighbours (Å) after each atom.
Space group Pm-3m (No. 221)
Inequivalent atoms, fractional coordinates:
K: 0.0000 0.0000 0.0000 (multiplicity 1)  12 Mo 3.35
Ga: 0.5000 0.5000 0.5000 (multiplicity 1)  6 Mo 2.37
Mo: 0.0000 0.5000 0.5000 (multiplicity 3)  2 Ga 2.37

Results
* polymorph energy (0 for the lowest one): 0.0 meV per atom
* density of states at the Fermi level: 7.75 states/eV/cell
* calculated total energy: -5.95 eV per atom
* total magnetization: 0.001 μB per atom
* E_form: 2.00 eV per atom

10.
VASP calculation (GGA-PBEsol) on a relaxed structure of KGaMo3.

Cell: 4.4294 4.4294 4.4294 Å, 90.00 90.00 90.00°
With the nearest neighbours (Å) after each atom.
Space group Pm-3m (No. 221)
Inequivalent atoms, fractional coordinates:
K: 0.0000 0.0000 0.0000 (multiplicity 1)  6 Mo 2.21
Ga: 0.5000 0.5000 0.5000 (multiplicity 1)  12 Mo 3.13
Mo: 0.0000 0.0000 0.5000 (multiplicity 3)  2 K 2.21

Results
* polymorph energy (0 for the lowest one): 916.5 meV per atom
* density of states at the Fermi level: 5.76 states/eV/cell
* calculated total energy: -5.03 eV per atom
* total magnetization: 0.000 μB per atom
* E_form: 2.92 eV per atom

11.
VASP calculation (GGA-PBEsol) on a relaxed structure of KGaN2.

Cell: 3.2131 3.2131 20.5041 Å, 90.00 90.00 120.00°
With the nearest neighbours (Å) after each atom.
Space group R-3m (No. 166, hexagonal axes)
Inequivalent atoms, fractional coordinates:
K: 0.0000 0.0000 0.0000 (multiplicity 3)  2 N 2.47
Ga: 0.0000 0.0000 0.5000 (multiplicity 3)  6 N 2.08
N: 0.0000 0.0000 0.1203 (multiplicity 6)  3 Ga 2.08

Results
* density of states at the Fermi level: 1.90 states/eV/cell
* calculated total energy: -4.65 eV per atom
* ΔE_f (raw): 281 kJ/mol of formula units
* total magnetization: 0.501 μB per atom

12.
VASP calculation (GGA-PBEsol) on a relaxed structure of KNbGa2N.

Cell: 4.2597 4.2597 4.7773 Å, 90.00 90.00 90.00°
With the nearest neighbours (Å) after each atom.
Space group P4/mmm (No. 123)
Inequivalent atoms, fractional coordinates:
K: 0.0000 0.0000 0.0000 (multiplicity 1)  2 N 2.39
Nb: 0.5000 0.5000 0.0000 (multiplicity 1)  4 K 3.01, 8 Ga 3.20
Ga: 0.0000 0.5000 0.5000 (multiplicity 2)  2 N 2.13
N: 0.0000 0.0000 0.5000 (multiplicity 1)  4 Ga 2.13

Results
* density of states at the Fermi level: 4.51 states/eV/cell
* calculated total energy: -4.37 eV per atom
* ΔE_f (raw): 512 kJ/mol of formula units
* total magnetization: 0.420 μB per atom

13.
VASP calculation (GGA-PBEsol) on a relaxed structure of KGaN2O.

Cell: 4.9585 4.9585 4.6032 Å, 90.00 90.00 90.00°
With the nearest neighbours (Å) after each atom.
Space group P4/mmm (No. 123)
Inequivalent atoms, fractional coordinates:
K: 0.0000 0.0000 0.0000 (multiplicity 1)  2 O 2.30, 4 N 2.48
Ga: 0.5000 0.5000 0.5000 (multiplicity 1)  8 N 3.38, 4 O 3.51
N: 0.0000 0.5000 0.0000 (multiplicity 2)  2 K 2.48
O: 0.0000 0.0000 0.5000 (multiplicity 1)  2 K 2.30

Results
* density of states at the Fermi level: 2.22 states/eV/cell
* calculated total energy: -3.29 eV per atom
* ΔE_f (raw): 998 kJ/mol of formula units
* total magnetization: 1.200 μB per atom